Below is NaLi6Pb5 after structural relaxation, with properties calculated at the PBE level.

Computed properties:
ΔH_f (0 K)   -0.25 eV/atom
M_tot   0.00 Bohr magnetons per cell

Lattice parameters (Å, degrees): 5.073 7.048 7.705 90.00 102.62 90.00
Space group P2/m (No. 10)
Asymmetric unit:
Na 0.000 0.000 0.000
Li 0.143 0.250 0.345
Li 0.500 0.263 0.000
Pb 0.000 0.500 0.000
Pb 0.357 0.500 0.670
Pb 0.370 0.000 0.673